1.
Material: NdEr2TmSb4
Method: DFT, GGA-PBE
State: relaxed

Lattice parameters (Å, degrees): 4.3971 7.6090 7.6074 70.51 90.00 90.00
Fractional positions:
Nd1 0.5000 0.5000 0.0000
Er1 0.0000 0.0000 0.0000
Er2 0.5000 0.0000 0.5000
Tm1 0.0000 0.5000 0.5000
Sb1 0.0000 0.7572 0.7421
Sb2 0.0000 0.2428 0.2579
Sb3 0.5000 0.7530 0.2546
Sb4 0.5000 0.2470 0.7454

Summary:
energy relative to the elements, uncorrected: -1103 meV per atom
uncorrected energy: -5.4595 eV per atom

2.
Material: PmCuSb2O8
Method: DFT, GGA-PBE
State: relaxed

Lattice parameters (Å, degrees): 5.0339 5.0307 6.3180 90.00 90.00 84.11
Fractional positions:
Pm1 0.0000 0.0000 0.5000
Cu1 0.0000 0.0000 0.0000
Sb1 0.5000 0.5000 0.7647
Sb2 0.5000 0.5000 0.2353
O1 0.2010 0.7970 0.2193
O2 0.6805 0.6824 0.0000
O3 0.7991 0.2031 0.2193
O4 0.7990 0.2030 0.7807
O5 0.3195 0.3176 0.0000
O6 0.2009 0.7969 0.7807
O7 0.6681 0.6696 0.5000
O8 0.3319 0.3304 0.5000

Summary:
energy relative to the elements, uncorrected: -1511 meV per atom
uncorrected energy: -6.2404 eV per atom

3.
Material: LiV2Cl
Method: DFT, GGA-PBE
State: relaxed

Lattice parameters (Å, degrees): 4.2613 4.2613 4.2613 60.00 60.00 60.00
Fractional positions:
V1 0.2500 0.2500 0.2500
V2 0.7500 0.7500 0.7500
Li1 0.0000 0.0000 0.0000
Cl1 0.5000 0.5000 0.5000

Summary:
energy relative to the elements, uncorrected: 819 meV per atom
excess energy over the best structure of this formula in the dataset: 189 meV per atom
uncorrected energy: -4.6800 eV per atom

4.
Material: Li2CrW
Method: DFT, GGA-PBE
State: relaxed

Lattice parameters (Å, degrees): 3.1019 3.1019 6.6027 90.00 90.00 90.00
Fractional positions:
Cr1 0.5000 0.5000 0.7115
Li1 0.0000 0.0000 0.9848
Li2 0.5000 0.5000 0.2573
W1 0.0000 0.0000 0.5465

Summary:
excess energy over the best structure of this formula in the dataset: 144 meV per atom
uncorrected energy: -6.1290 eV per atom

5.
Material: Sm6Te3AsSe2
Method: DFT, GGA-PBE
State: relaxed

Lattice parameters (Å, degrees): 7.4139 7.4139 7.6081 99.35 99.35 119.99
Fractional positions:
Sm1 0.9275 0.5998 0.7824
Sm2 0.7455 0.7455 0.2183
Sm3 0.0725 0.4002 0.2176
Sm4 0.5998 0.9275 0.7824
Sm5 0.2545 0.2545 0.7817
Sm6 0.4002 0.0725 0.2176
Te1 0.1678 0.8322 0.5000
Te2 0.8322 0.1678 0.5000
Te3 0.5000 0.5000 0.5000
As1 0.0000 0.0000 0.0000
Se1 0.3336 0.6664 0.0000
Se2 0.6664 0.3336 0.0000

Summary:
energy relative to the elements, uncorrected: -1597 meV per atom
uncorrected energy: -5.7101 eV per atom

6.
Material: HfGeTe3
Method: DFT, GGA-PBE
State: relaxed

Lattice parameters (Å, degrees): 4.0214 8.6161 11.8545 121.11 90.00 90.00
Fractional positions:
Hf1 0.2500 0.1408 0.1701
Hf2 0.7500 0.8592 0.8299
Ge1 0.2500 0.1957 0.6729
Ge2 0.7500 0.8043 0.3271
Te1 0.2500 0.1556 0.9358
Te2 0.7500 0.8444 0.0642
Te3 0.2500 0.0614 0.3912
Te4 0.7500 0.9386 0.6088
Te5 0.2500 0.6023 0.6930
Te6 0.7500 0.3977 0.3070

Summary:
energy relative to the elements, uncorrected: -423 meV per atom
excess energy over the best structure of this formula in the dataset: 89 meV per atom
uncorrected energy: -5.2218 eV per atom